The following is a DFT calculation (PBE-GGA) of a relaxed structure of Dy4Ga16Au3.

Cell and atoms, written as POSCAR:
```
Dy4Ga16Au3
1.0
6.364 0.000 0.000
0.000 6.364 0.000
0.000 0.000 11.080
Dy Ga Au
4 16 3
Cartesian
0.000 3.182 2.075 Dy
0.000 3.182 9.005 Dy
3.182 0.000 2.075 Dy
3.182 0.000 9.005 Dy
0.000 0.000 2.233 Ga
0.000 0.000 8.847 Ga
1.313 1.313 0.000 Ga
1.313 5.051 0.000 Ga
1.540 1.540 4.108 Ga
1.540 1.540 6.971 Ga
1.540 4.823 4.108 Ga
1.540 4.823 6.971 Ga
3.182 3.182 2.652 Ga
3.182 3.182 8.427 Ga
4.823 1.540 4.108 Ga
4.823 1.540 6.971 Ga
4.823 4.823 4.108 Ga
4.823 4.823 6.971 Ga
5.051 1.313 0.000 Ga
5.051 5.051 0.000 Ga
0.000 3.182 5.540 Au
3.182 0.000 5.540 Au
3.182 3.182 0.000 Au
```

Calculated values
The magnetization is 0.00 μB/f.u. For the total energy, the calculation gives -3.7528 eV per atom. For the energy of formation, the calculation gives -0.419 eV/atom.

The following is a DFT calculation (PBE-GGA) of a relaxed structure of Dy4Ga12Au.

Cell and atoms, written as POSCAR:
```
Dy4Ga12Au
1.0
-4.339 4.339 4.339
4.339 -4.339 4.339
4.339 4.339 -4.339
Dy Ga Au
4 12 1
Cartesian
2.170 2.170 -2.170 Dy
2.170 -2.170 2.170 Dy
-2.170 2.170 2.170 Dy
2.170 2.170 2.170 Dy
2.638 0.000 0.000 Ga
6.041 0.000 0.000 Ga
4.339 2.170 0.000 Ga
4.339 0.000 2.170 Ga
0.000 2.638 0.000 Ga
0.000 0.000 2.638 Ga
2.170 4.339 0.000 Ga
2.170 0.000 4.339 Ga
0.000 6.041 0.000 Ga
0.000 0.000 6.041 Ga
0.000 4.339 2.170 Ga
0.000 2.170 4.339 Ga
0.000 0.000 0.000 Au
```

Calculated values
The magnetization is 0.00 μB/f.u. For the total energy, the calculation gives -3.9572 eV per atom. For the energy of formation, the calculation gives -0.545 eV/atom.

Question: What is the magnetization in the first record?
Answer: 0.00 μB/f.u.

Question: Which value of energy of formation does entry 2 give?
Answer: -0.545 eV/atom

Question: Which of these has the lowest energy of formation?
Answer: Dy4Ga12Au

Question: Among the records above, which one has the highest energy of formation?
Answer: Dy4Ga16Au3